i.
This record from Alexandria via LeMat-Bulk describes a PBEsol-optimized structure of TcNiPt2. The functional is meta-GGA SCAN.

Computed properties:
Fermi-level density of states in states/eV/f.u.: 3.05
Magnetization in μB/atom: 0.000

a b c (Å): 3.753 3.753 7.679
angles (deg): 90.00 90.00 90.00
Space group I4/mmm (No. 139)
One atom of each set of equivalent atoms:
1 Tc 0.000 0.000 0.000 x2
2 Ni 0.000 0.000 0.500 x2
3 Pt 0.000 0.500 0.250 x4


ii.
This record from Alexandria via LeMat-Bulk describes a PBEsol-optimized structure of TcNiPt2. The functional is meta-GGA SCAN.

Computed properties:
Fermi-level density of states in states/eV/f.u.: 3.02
Magnetization in μB/atom: 0.189

a b c (Å): 2.688 2.688 7.486
angles (deg): 90.00 90.00 90.00
Space group P4/mmm (No. 123)
One atom of each set of equivalent atoms:
1 Tc 0.000 0.000 0.000 x1
2 Ni 0.000 0.000 0.500 x1
3 Pt 0.500 0.500 0.256 x2


ii is the most stable structure shown above.